The following is a DFT calculation (PBE-GGA) of SrNiSe2 after structural relaxation.

The structure in POSCAR format:
```
SrNiSe2
1.0
4.247 0.000 0.000
0.000 3.638 0.000
-0.045 0.000 6.337
Sr Ni Se
1 1 2
Direct
0.000 0.000 0.000
0.500 0.000 0.500
0.498 0.500 0.738
0.502 0.500 0.262
```

Values from the calculation:
density: 5.2 g cm⁻³
ΔE_f (raw): -0.93 eV per atom
crystal system: monoclinic